This record from the Alexandria database describes AlTcBr2 at its PBEsol-relaxed geometry. The functional is SCAN.

a = 3.1196 Å, b = 4.7457 Å, c = 4.7457 Å
α = 90.00°, β = 90.00°, γ = 90.00°
Each line ends with the local moment (μB).
Fractional positions:
1 Br 0.0000 0.0000 0.5000  -0.07
2 Br 0.0000 0.5000 0.0000  -0.07
3 Al 0.5000 0.0000 0.0000  -0.04
4 Tc 0.5000 0.5000 0.5000  -2.50

- Total moment: 2.888 μB per formula unit
- Energy: -78.26 eV for the cell shown
- Formation energy from raw total energies: 0.867 eV per atom